## K3LiMn2F9 (GGA+U)

Data for an optimized crystal structure of K3LiMn2F9.

Its electronic total energy is -5.22 eV/atom.

It has space group P-3m1 (No. 164), with a = 5.8228 Å, b = 5.8228 Å, c = 7.1705 Å, α = 90.00°, β = 90.00° and γ = 120.00°. The inequivalent atoms are K at (0.0000, 0.0000, 0.0000), K at (0.3333, 0.6667, 0.6481), Li at (0.0000, 0.0000, 0.5000), Mn at (0.3333, 0.6667, 0.1710), F at (0.0000, 0.5000, 0.0000) and F at (0.1680, 0.3360, 0.3268).